Tb6Pm2NdTm | PBE | optimized geometry

Cell lengths 9.694, 8.817, 8.817 Å; angles 117.92, 94.23, 94.23 degrees
Fractional coordinates of all 20 atoms:
1 Tb 0.057 0.124 0.745
2 Tb 0.443 0.255 0.876
3 Tb 0.943 0.876 0.255
4 Tb 0.557 0.745 0.124
5 Tb 0.314 0.982 0.430
6 Tb 0.186 0.570 0.018
7 Tb 0.686 0.018 0.570
8 Tb 0.814 0.430 0.982
9 Tb 0.119 0.706 0.493
10 Tb 0.381 0.507 0.294
11 Tb 0.881 0.294 0.507
12 Tb 0.619 0.493 0.706
13 Pm 0.456 0.802 0.700
14 Pm 0.044 0.300 0.198
15 Pm 0.544 0.198 0.300
16 Pm 0.956 0.700 0.802
17 Nd 0.250 0.980 0.020
18 Nd 0.750 0.020 0.980
19 Tm 0.250 0.408 0.592
20 Tm 0.750 0.592 0.408

Computed properties:
space group	C2/c (15)
density of states at the Fermi level	1.38	states/eV per atom
electronic total energy	-4.537	eV/atom

TbPm4NdTm2 | PBE | optimized geometry

Cell lengths 5.117, 5.096, 11.336 Å; angles 63.25, 90.00, 90.00 degrees
Fractional coordinates of all 8 atoms:
1 Tb 0.500 0.500 0.000
2 Pm 0.000 0.747 0.752
3 Pm 0.000 0.253 0.248
4 Pm 0.500 0.752 0.249
5 Pm 0.500 0.248 0.751
6 Nd 0.000 0.500 0.500
7 Tm 0.000 0.000 0.000
8 Tm 0.500 0.000 0.500

Computed properties:
space group	Pmmm (47)
density of states at the Fermi level	1.38	states/eV per atom
electronic total energy	-4.652	eV/atom

TbPmNdTm3 | PBE | optimized geometry

Cell lengths 5.842, 6.353, 11.694 Å; angles 90.00, 90.00, 117.37 degrees
Fractional coordinates of all 12 atoms:
1 Tb 0.824 0.648 0.750
2 Tb 0.176 0.352 0.250
3 Pm 0.505 0.009 0.750
4 Pm 0.495 0.991 0.250
5 Nd 0.000 0.000 0.500
6 Nd 0.000 0.000 0.000
7 Tm 0.672 0.344 0.496
8 Tm 0.328 0.656 0.504
9 Tm 0.328 0.656 0.996
10 Tm 0.672 0.344 0.004
11 Tm 0.170 0.340 0.750
12 Tm 0.830 0.660 0.250

Computed properties:
space group	Cmcm (63)
density of states at the Fermi level	2.04	states/eV per atom
electronic total energy	-4.480	eV/atom

TbPm4Nd2Tm2 | PBE | optimized geometry

Cell lengths 5.117, 8.093, 8.050 Å; angles 107.61, 90.00, 108.43 degrees
Fractional coordinates of all 9 atoms:
1 Tb 0.000 0.000 0.000
2 Pm 0.778 0.557 0.670
3 Pm 0.222 0.443 0.330
4 Pm 0.555 0.110 0.330
5 Pm 0.445 0.890 0.670
6 Nd 0.888 0.777 0.331
7 Nd 0.112 0.223 0.669
8 Tm 0.333 0.666 0.000
9 Tm 0.667 0.334 0.000

Computed properties:
space group	C2/m (12)
density of states at the Fermi level	1.57	states/eV per atom
electronic total energy	-4.658	eV/atom

TbPm5Nd2Tm | PBE | optimized geometry

Cell lengths 8.652, 8.652, 10.261 Å; angles 114.93, 114.93, 90.00 degrees
Fractional coordinates of all 18 atoms:
1 Tb 0.250 0.250 0.500
2 Tb 0.750 0.750 0.500
3 Pm 0.926 0.426 0.285
4 Pm 0.641 0.141 0.715
5 Pm 0.074 0.574 0.715
6 Pm 0.141 0.074 0.715
7 Pm 0.574 0.641 0.715
8 Pm 0.859 0.926 0.285
9 Pm 0.426 0.359 0.285
10 Pm 0.359 0.859 0.285
11 Pm 0.500 0.500 0.000
12 Pm 0.000 0.000 0.000
13 Nd 0.121 0.379 0.000
14 Nd 0.621 0.121 0.000
15 Nd 0.379 0.879 0.000
16 Nd 0.879 0.621 0.000
17 Tm 0.250 0.750 0.500
18 Tm 0.750 0.250 0.500

Computed properties:
space group	I4/mcm (140)
density of states at the Fermi level	1.50	states/eV per atom
electronic total energy	-4.434	eV/atom

TbPm2Nd6Tm | PBE | optimized geometry

Cell lengths 9.775, 8.993, 8.993 Å; angles 118.07, 94.10, 94.10 degrees
Fractional coordinates of all 20 atoms:
1 Tb 0.250 0.978 0.022
2 Tb 0.750 0.022 0.978
3 Pm 0.456 0.802 0.701
4 Pm 0.044 0.299 0.198
5 Pm 0.544 0.198 0.299
6 Pm 0.956 0.701 0.802
7 Nd 0.054 0.122 0.757
8 Nd 0.446 0.243 0.878
9 Nd 0.946 0.878 0.243
10 Nd 0.554 0.757 0.122
11 Nd 0.310 0.988 0.430
12 Nd 0.190 0.570 0.012
13 Nd 0.690 0.012 0.570
14 Nd 0.810 0.430 0.988
15 Nd 0.118 0.708 0.496
16 Nd 0.382 0.504 0.292
17 Nd 0.882 0.292 0.504
18 Nd 0.618 0.496 0.708
19 Tm 0.250 0.410 0.590
20 Tm 0.750 0.590 0.410

Computed properties:
space group	C2/c (15)
density of states at the Fermi level	1.42	states/eV per atom
electronic total energy	-4.607	eV/atom

TbPm2Nd4Tm2 | PBE | optimized geometry

Cell lengths 5.127, 8.110, 8.064 Å; angles 107.59, 90.00, 108.43 degrees
Fractional coordinates of all 9 atoms:
1 Tb 0.000 0.000 0.000
2 Pm 0.888 0.777 0.330
3 Pm 0.112 0.223 0.670
4 Nd 0.778 0.556 0.670
5 Nd 0.222 0.444 0.330
6 Nd 0.555 0.109 0.330
7 Nd 0.445 0.891 0.670
8 Tm 0.333 0.665 0.000
9 Tm 0.667 0.335 0.000

Computed properties:
space group	C2/m (12)
density of states at the Fermi level	1.59	states/eV per atom
electronic total energy	-4.661	eV/atom

Tb4PmNd2Tm | PBE | optimized geometry

Cell lengths 9.543, 9.543, 11.869 Å; angles 128.45, 128.45, 88.30 degrees
Each line ends with the local moment (μB).
Fractional coordinates of all 16 atoms:
1 Tb 0.243 0.757 0.000  0.11
2 Tb 0.743 0.257 0.500  0.11
3 Tb 0.257 0.743 0.500  0.11
4 Tb 0.757 0.243 0.000  0.11
5 Tb 0.749 0.749 0.993  0.13
6 Tb 0.751 0.751 0.507  0.13
7 Tb 0.249 0.249 0.493  0.13
8 Tb 0.251 0.251 0.007  0.13
9 Pm 0.000 0.500 0.000  0.09
10 Pm 0.000 0.500 0.500  0.09
11 Nd 0.500 0.000 0.000  0.09
12 Nd 0.500 0.000 0.500  0.09
13 Nd 0.000 0.000 0.500  0.11
14 Nd 0.500 0.500 0.000  0.11
15 Tm 0.500 0.500 0.500  0.10
16 Tm 0.000 0.000 0.000  0.10

Computed properties:
space group	C2/c (15)
density of states at the Fermi level	2.50	states/eV per atom
electronic total energy	-4.250	eV/atom

Which value of electronic total energy does entry 3 give? -4.480 eV/atom